Mo2RhPbO8 | GGA+U | relaxed

The structure belongs to space group P-3m1 (No. 164); the cell edges are 5.8714, 5.8714 and 6.7693 Å and the angles 90.00°, 90.00° and 120.00°. The inequivalent atoms are Mo at (0.3333, 0.6667, 0.2699), Rh at (0.0000, 0.0000, 0.0000), Pb at (0.0000, 0.0000, 0.5000), O at (0.1610, 0.3220, 0.1942) and O at (0.3333, 0.6667, 0.5299).

The magnetic moment is 1.00 μB per formula unit. The raw total energy comes out at -6.66 eV per atom.